The following is a PBE calculation of La3Cu9Ni2 after structural relaxation, from Alexandria via LeMat-Bulk.

Output
Formation enthalpy at 0 K   -174 meV per atom
Total magnetic moment   0.00 Bohr magnetons per cell
Energy   -65.7 eV per cell
SG   Immm (71)

Cell: 4.231 7.918 7.918 Å, 70.37 74.51 74.51°
Atoms (fractional coordinates):
La 0.310 0.690 0.690
La 0.000 0.000 0.000
La 0.690 0.310 0.310
Cu 0.886 0.837 0.392
Cu 0.328 0.322 0.023
Cu 0.114 0.163 0.608
Cu 0.672 0.678 0.977
Cu 0.114 0.608 0.163
Cu 0.886 0.392 0.837
Cu 0.328 0.023 0.322
Cu 0.672 0.977 0.678
Cu 0.000 0.500 0.500
Ni 0.500 0.305 0.695
Ni 0.500 0.695 0.305